Entry from Alexandria: SnH2Au2 at its PBEsol-relaxed geometry (SCAN).

Unit cell a=3.8961 b=3.8961 c=8.8233 alpha=90.00 beta=90.00 gamma=90.00
Closest atoms and distances in Å follow each position.
Space group I4/mmm (No. 139)
One atom of each set of equivalent atoms:
Sn 0.0000 0.0000 0.0000 x2  8 H 2.94, 10 Au 2.99-3.10
H 0.0000 0.5000 0.2500 x4  4 Au 2.10
Au 0.0000 0.0000 0.3392 x4  4 H 2.10

Total magnetic moment (μB/f.u.): 0.000
DOS(E_F) (states/eV/atom): 0.213
Final energy (eV/atom): -35.8009

Entry from Alexandria: Sr2H2Au at its PBEsol-relaxed geometry (SCAN).

Unit cell a=3.8906 b=3.8906 c=13.2249 alpha=90.00 beta=90.00 gamma=90.00
Closest atoms and distances in Å follow each position.
Space group I4/mmm (No. 139)
One atom of each set of equivalent atoms:
Sr 0.0000 0.0000 0.1425 x4  4 H 2.41
H 0.0000 0.5000 0.2500 x4  4 Sr 2.41
Au 0.0000 0.0000 0.5000 x2  8 Sr 3.33

Total magnetic moment (μB/f.u.): 0.000
DOS(E_F) (states/eV/atom): 0.239
Final energy (eV/atom): -24.8283

Entry from Alexandria: SrHAu3 at its PBEsol-relaxed geometry (SCAN).

Unit cell a=4.4353 b=4.4353 c=4.4353 alpha=90.00 beta=90.00 gamma=90.00
Closest atoms and distances in Å follow each position.
Space group Pm-3m (No. 221)
One atom of each set of equivalent atoms:
Sr 0.0000 0.0000 0.0000 x1  12 Au 3.14
H 0.5000 0.5000 0.5000 x1  6 Au 2.22
Au 0.0000 0.5000 0.5000 x3  2 H 2.22

Total magnetic moment (μB/f.u.): 0.000
DOS(E_F) (states/eV/atom): 0.316
Final energy (eV/atom): -46.7779

Entry from Alexandria: TaHAu2 at its PBEsol-relaxed geometry (SCAN).

Unit cell a=6.2443 b=6.2443 c=6.2443 alpha=90.00 beta=90.00 gamma=90.00
Closest atoms and distances in Å follow each position.
Space group Fm-3m (No. 225)
One atom of each set of equivalent atoms:
Ta 0.0000 0.0000 0.0000 x4  8 Au 2.70
H 0.0000 0.0000 0.5000 x4  8 Au 2.70
Au 0.2500 0.2500 0.2500 x8  4 Ta 2.70, 4 H 2.70

Total magnetic moment (μB/f.u.): 0.083
DOS(E_F) (states/eV/atom): 0.510
Final energy (eV/atom): -51.4479

Entry from Alexandria: Ta3HAu at its PBEsol-relaxed geometry (SCAN).

Unit cell a=4.1307 b=4.1307 c=4.1307 alpha=90.00 beta=90.00 gamma=90.00
Closest atoms and distances in Å follow each position.
Space group Pm-3m (No. 221)
One atom of each set of equivalent atoms:
Ta 0.0000 0.0000 0.5000 x3  2 H 2.07
H 0.0000 0.0000 0.0000 x1  6 Ta 2.07
Au 0.5000 0.5000 0.5000 x1  12 Ta 2.92

Total magnetic moment (μB/f.u.): 0.000
DOS(E_F) (states/eV/atom): 0.976
Final energy (eV/atom): -54.6021

Entry from Alexandria: TcHAu2 at its PBEsol-relaxed geometry (SCAN).

Unit cell a=6.1474 b=6.1474 c=6.1474 alpha=90.00 beta=90.00 gamma=90.00
Closest atoms and distances in Å follow each position.
Space group Fm-3m (No. 225)
One atom of each set of equivalent atoms:
Tc 0.0000 0.0000 0.0000 x4  8 Au 2.66
H 0.0000 0.0000 0.5000 x4  8 Au 2.66
Au 0.2500 0.2500 0.2500 x8  4 H 2.66, 4 Tc 2.66

Total magnetic moment (μB/f.u.): 2.455
DOS(E_F) (states/eV/atom): 0.587
Final energy (eV/atom): -43.2595

Entry from Alexandria: Ti3HAu at its PBEsol-relaxed geometry (SCAN).

Unit cell a=4.0335 b=4.0335 c=4.0335 alpha=90.00 beta=90.00 gamma=90.00
Closest atoms and distances in Å follow each position.
Space group Pm-3m (No. 221)
One atom of each set of equivalent atoms:
Ti 0.0000 0.0000 0.5000 x3  2 H 2.02
H 0.0000 0.0000 0.0000 x1  6 Ti 2.02
Au 0.5000 0.5000 0.5000 x1  12 Ti 2.85

Total magnetic moment (μB/f.u.): 0.001
DOS(E_F) (states/eV/atom): 0.836
Final energy (eV/atom): -24.6639

Entry from Alexandria: Ti2H2Au at its PBEsol-relaxed geometry (SCAN).

Unit cell a=3.3963 b=3.3963 c=9.1412 alpha=90.00 beta=90.00 gamma=90.00
Closest atoms and distances in Å follow each position.
Space group I4/mmm (No. 139)
One atom of each set of equivalent atoms:
Ti 0.0000 0.0000 0.1598 x4  4 H 1.89
H 0.0000 0.5000 0.2500 x4  4 Ti 1.89
Au 0.0000 0.0000 0.5000 x2  10 Ti 2.81-3.11, 8 H 2.85

Total magnetic moment (μB/f.u.): 0.532
DOS(E_F) (states/eV/atom): 0.754
Final energy (eV/atom): -22.1590

Entry from Alexandria: H2WAu2 at its PBEsol-relaxed geometry (SCAN).

Unit cell a=2.8559 b=2.8559 c=13.9404 alpha=90.00 beta=90.00 gamma=90.00
Closest atoms and distances in Å follow each position.
Space group I4/mmm (No. 139)
One atom of each set of equivalent atoms:
H 0.0000 0.5000 0.2500 x4  4 H 2.02, 4 Au 2.06
W 0.0000 0.0000 0.0000 x2  8 Au 2.84, 4 W 2.86
Au 0.0000 0.0000 0.3568 x4  4 H 2.06

Total magnetic moment (μB/f.u.): 0.000
DOS(E_F) (states/eV/atom): 0.333
Final energy (eV/atom): -42.3810

Entry from Alexandria: Y2H2Au at its PBEsol-relaxed geometry (SCAN).

Unit cell a=3.5765 b=3.5765 c=12.2131 alpha=90.00 beta=90.00 gamma=90.00
Closest atoms and distances in Å follow each position.
Space group I4/mmm (No. 139)
One atom of each set of equivalent atoms:
Y 0.0000 0.0000 0.1437 x4  4 H 2.21
H 0.0000 0.5000 0.2500 x4  4 Y 2.21
Au 0.0000 0.0000 0.5000 x2  8 Y 3.08

Total magnetic moment (μB/f.u.): 0.000
DOS(E_F) (states/eV/atom): 0.404
Final energy (eV/atom): -27.3080

Entry from Alexandria: Zr3HAu at its PBEsol-relaxed geometry (SCAN).

Unit cell a=4.3442 b=4.3442 c=4.3442 alpha=90.00 beta=90.00 gamma=90.00
Closest atoms and distances in Å follow each position.
Space group Pm-3m (No. 221)
One atom of each set of equivalent atoms:
Zr 0.0000 0.0000 0.5000 x3  2 H 2.17
H 0.0000 0.0000 0.0000 x1  6 Zr 2.17
Au 0.5000 0.5000 0.5000 x1  12 Zr 3.07

Total magnetic moment (μB/f.u.): 0.000
DOS(E_F) (states/eV/atom): 0.792
Final energy (eV/atom): -33.4381

Entry from Alexandria: ZrHAu3 at its PBEsol-relaxed geometry (SCAN).

Unit cell a=5.1871 b=5.1871 c=5.1871 alpha=90.00 beta=90.00 gamma=90.00
Closest atoms and distances in Å follow each position.
Space group Pm-3m (No. 221)
One atom of each set of equivalent atoms:
Zr 0.0000 0.0000 0.0000 x1  6 Au 2.59
H 0.5000 0.5000 0.5000 x1  12 Au 3.67
Au 0.0000 0.0000 0.5000 x3  2 Zr 2.59

Total magnetic moment (μB/f.u.): 0.159
DOS(E_F) (states/eV/atom): 0.406
Final energy (eV/atom): -47.3104